1.
Here is a relaxed RbPmZnTe3 crystal from Alexandria via LeMat-Bulk. Energies are from PBE.

a = 4.4867 Å, b = 10.0800 Å, c = 10.7396 Å
α = 109.17°, β = 90.00°, γ = 90.00°
Closest atoms and distances in Å follow each position.
Positions (direct):
Rb: 0.2500 0.2134 0.2433  7 Te 3.69-3.91
Rb: 0.7500 0.7866 0.7567  7 Te 3.69-3.91
Pm: 0.2500 0.6742 0.1388  6 Te 3.12-3.30
Pm: 0.7500 0.3258 0.8612  6 Te 3.12-3.30
Zn: 0.2500 0.0836 0.6096  4 Te 2.65-2.77
Zn: 0.7500 0.9164 0.3904  4 Te 2.65-2.77
Te: 0.7500 0.8965 0.1385  1 Zn 2.65
Te: 0.2500 0.1035 0.8615  1 Zn 2.65
Te: 0.2500 0.8008 0.4635  3 Zn 2.76-2.77
Te: 0.7500 0.1992 0.5365  3 Zn 2.76-2.77
Te: 0.7500 0.4673 0.1672  3 Pm 3.12-3.15
Te: 0.2500 0.5327 0.8328  3 Pm 3.12-3.15

Calculated values
Formation energy from raw total energies (eV per atom): -1.074

2.
Here is a relaxed Rb4Pm3ZrTe8 crystal from Alexandria via LeMat-Bulk. Energies are from PBE.

a = 9.0459 Å, b = 10.0594 Å, c = 9.0459 Å
α = 116.72°, β = 120.00°, γ = 90.00°
Closest atoms and distances in Å follow each position.
Positions (direct):
Rb: 0.5000 0.0000 0.0000  6 Te 3.76-3.77
Rb: 0.5000 0.0000 0.5000  6 Te 3.62-3.63
Rb: 0.0000 0.0000 0.0000  6 Te 3.62-3.63
Rb: 0.0000 0.0000 0.5000  6 Te 3.62-3.63
Pm: 0.5000 0.5000 0.0000  6 Te 3.16-3.18
Pm: 0.5000 0.5000 0.5000  6 Te 3.16-3.18
Pm: 0.0000 0.5000 0.5000  6 Te 3.16-3.18
Zr: 0.0000 0.5000 0.0000  6 Te 3.02
Te: 0.2250 0.6997 0.9747  1 Zr 3.02, 2 Pm 3.18
Te: 0.2250 0.6997 0.4500  1 Zr 3.02, 2 Pm 3.18
Te: 0.2641 0.2924 0.5283  3 Pm 3.16
Te: 0.7497 0.6997 0.9747  1 Zr 3.02, 2 Pm 3.18
Te: 0.2503 0.3003 0.0253  1 Zr 3.02, 2 Pm 3.18
Te: 0.7359 0.7076 0.4717  3 Pm 3.16
Te: 0.7750 0.3003 0.5500  1 Zr 3.02, 2 Pm 3.18
Te: 0.7750 0.3003 0.0253  1 Zr 3.02, 2 Pm 3.18

Calculated values
Formation energy from raw total energies (eV per atom): -1.271

3.
Here is a relaxed RbPmTl2 crystal from Alexandria via LeMat-Bulk. Energies are from PBE.

a = 3.9852 Å, b = 3.9852 Å, c = 8.9795 Å
α = 90.00°, β = 90.00°, γ = 90.00°
Closest atoms and distances in Å follow each position.
Positions (direct):
Tl: 0.0000 0.0000 0.8011  4 Pm 3.34, 1 Tl 3.57
Tl: 0.0000 0.0000 0.1989  4 Pm 3.34, 1 Tl 3.57
Rb: 0.5000 0.5000 0.5000  8 Tl 3.91, 4 Rb 3.99
Pm: 0.5000 0.5000 0.0000  8 Tl 3.34

Calculated values
Formation energy (eV/atom): -0.192
E above lowest polymorph (eV/atom): 0.000

4.
Here is a relaxed RbPm4Tl5 crystal from Alexandria via LeMat-Bulk. Energies are from PBE.

a = 3.9341 Å, b = 3.9341 Å, c = 20.4374 Å
α = 90.00°, β = 90.00°, γ = 90.00°
Closest atoms and distances in Å follow each position.
Positions (direct):
Rb: 0.0000 0.0000 0.0000  8 Tl 3.88, 4 Rb 3.93
Pm: 0.0000 0.0000 0.2175  8 Tl 3.28-3.40
Pm: 0.0000 0.0000 0.4058  8 Tl 3.37-3.38
Pm: 0.0000 0.0000 0.5942  8 Tl 3.37-3.38
Pm: 0.0000 0.0000 0.7825  8 Tl 3.28-3.40
Tl: 0.5000 0.5000 0.1326  4 Pm 3.28
Tl: 0.5000 0.5000 0.3131  8 Pm 3.37-3.40, 1 Tl 3.69
Tl: 0.5000 0.5000 0.5000  8 Pm 3.38
Tl: 0.5000 0.5000 0.6869  8 Pm 3.37-3.40, 1 Tl 3.69
Tl: 0.5000 0.5000 0.8674  4 Pm 3.28

Calculated values
Formation energy (eV/atom): -0.309

5.
Here is a relaxed RbPmTl2 crystal from Alexandria via LeMat-Bulk. Energies are from PBE.

a = 3.9143 Å, b = 3.9143 Å, c = 11.2501 Å
α = 79.98°, β = 79.98°, γ = 60.00°
Closest atoms and distances in Å follow each position.
Positions (direct):
Tl: 0.7410 0.7410 0.7771  3 Pm 3.34
Tl: 0.2590 0.2590 0.2229  3 Pm 3.34
Rb: 0.5000 0.5000 0.5000  6 Tl 3.80, 6 Rb 3.91
Pm: 0.0000 0.0000 0.0000  6 Tl 3.34

Calculated values
Formation energy (eV/atom): -0.032
E above lowest polymorph (eV/atom): 0.160

6.
Here is a relaxed RbPm2Tm crystal from Alexandria via LeMat-Bulk. Energies are from PBE.

a = 3.6622 Å, b = 3.6622 Å, c = 13.5889 Å
α = 82.26°, β = 82.26°, γ = 60.00°
Closest atoms and distances in Å follow each position.
Positions (direct):
Tm: 0.5000 0.5000 0.5000  6 Pm 3.52, 6 Tm 3.66
Rb: 0.0000 0.0000 0.0000  6 Rb 3.66, 2 Pm 3.90
Pm: 0.0969 0.0969 0.7093  3 Tm 3.52, 6 Pm 3.66, 1 Rb 3.90
Pm: 0.9031 0.9031 0.2907  3 Tm 3.52, 6 Pm 3.66, 1 Rb 3.90

Calculated values
Formation energy (eV/atom): 0.258

7.
Here is a relaxed RbPm2Zn crystal from Alexandria via LeMat-Bulk. Energies are from PBE.

a = 3.8005 Å, b = 3.8005 Å, c = 12.4185 Å
α = 81.20°, β = 81.20°, γ = 60.00°
Closest atoms and distances in Å follow each position.
Positions (direct):
Zn: 0.5000 0.5000 0.5000  6 Pm 3.03
Rb: 0.0000 0.0000 0.0000  6 Rb 3.80, 2 Pm 4.03
Pm: 0.1098 0.1098 0.6705  3 Zn 3.03
Pm: 0.8902 0.8902 0.3295  3 Zn 3.03

Calculated values
Formation energy (eV/atom): 0.198

8.
Here is a relaxed RbPm2Zr crystal from Alexandria via LeMat-Bulk. Energies are from PBE.

a = 3.5607 Å, b = 3.5607 Å, c = 13.2829 Å
α = 82.30°, β = 82.30°, γ = 60.00°
Closest atoms and distances in Å follow each position.
Positions (direct):
Rb: 0.0000 0.0000 0.0000  6 Rb 3.56, 2 Pm 3.93
Zr: 0.5000 0.5000 0.5000  6 Pm 3.34, 6 Zr 3.56
Pm: 0.0999 0.0999 0.7002  3 Zr 3.34, 6 Pm 3.56
Pm: 0.9001 0.9001 0.2998  3 Zr 3.34, 6 Pm 3.56

Calculated values
Formation energy (eV/atom): 0.342

9.
Here is a relaxed PmRe3 crystal from Alexandria via LeMat-Bulk. Energies are from PBE.

a = 5.4129 Å, b = 5.4129 Å, c = 9.4327 Å
α = 89.46°, β = 107.43°, γ = 119.62°
Closest atoms and distances in Å follow each position.
Positions (direct):
Pm: 0.2888 0.1441 0.4329  12 Re 3.15-3.23, 3 Pm 3.32-3.36
Pm: 0.7112 0.8559 0.5671  12 Re 3.15-3.23, 3 Pm 3.32-3.36
Pm: 0.0000 0.0000 0.0000  6 Re 3.08-3.25
Re: 0.6589 0.0761 0.2461  7 Re 2.66-2.78
Re: 0.1700 0.5872 0.2461  7 Re 2.66-2.78
Re: 0.6656 0.5883 0.2538  7 Re 2.65-2.76
Re: 0.0000 0.5000 0.5000  6 Re 2.69-2.77
Re: 0.3413 0.6506 0.9920  7 Re 2.65-2.87
Re: 0.6587 0.3494 0.0080  7 Re 2.65-2.87
Re: 0.8300 0.4128 0.7539  7 Re 2.66-2.78
Re: 0.3411 0.9239 0.7539  7 Re 2.66-2.78
Re: 0.3344 0.4117 0.7462  7 Re 2.65-2.76

Calculated values
Formation energy (eV/atom): 0.060
E above lowest polymorph (eV/atom): 0.000

10.
Here is a relaxed PmRe5 crystal from Alexandria via LeMat-Bulk. Energies are from PBE.

a = 4.2432 Å, b = 4.2275 Å, c = 6.2384 Å
α = 109.81°, β = 90.00°, γ = 90.00°
Closest atoms and distances in Å follow each position.
Positions (direct):
Re: 0.5000 0.8150 0.6300  4 Re 2.58-2.61
Re: 0.0000 0.6900 0.3800  4 Re 2.54-2.58
Re: 0.5000 0.5000 0.0000  4 Pm 2.99, 8 Re 3.03-3.08
Re: 0.0000 0.3100 0.6200  4 Re 2.54-2.58
Re: 0.5000 0.1850 0.3700  4 Re 2.58-2.61
Pm: 0.0000 0.0000 0.0000  12 Re 2.99-3.07

Calculated values
Formation energy (eV/atom): 0.418

11.
Here is a relaxed PmRe2 crystal from Alexandria via LeMat-Bulk. Energies are from PBE.

a = 5.4894 Å, b = 5.4894 Å, c = 5.4894 Å
α = 60.00°, β = 60.00°, γ = 60.00°
Closest atoms and distances in Å follow each position.
Positions (direct):
Re: 0.1250 0.6250 0.6250  6 Re 2.74
Re: 0.6250 0.1250 0.6250  6 Re 2.74
Re: 0.6250 0.6250 0.6250  6 Re 2.74
Re: 0.6250 0.6250 0.1250  6 Re 2.74
Pm: 0.0000 0.0000 0.0000  12 Re 3.22, 4 Pm 3.36
Pm: 0.2500 0.2500 0.2500  12 Re 3.22, 4 Pm 3.36

Calculated values
Formation energy (eV/atom): 0.001

12.
Here is a relaxed PmRe4 crystal from Alexandria via LeMat-Bulk. Energies are from PBE.

a = 4.7497 Å, b = 4.7497 Å, c = 4.7497 Å
α = 90.00°, β = 90.00°, γ = 90.00°
Closest atoms and distances in Å follow each position.
Positions (direct):
Re: 0.0000 0.0000 0.0000  12 Re 3.36
Re: 0.5000 0.0000 0.5000  2 Pm 2.37
Re: 0.0000 0.5000 0.5000  2 Pm 2.37
Re: 0.5000 0.5000 0.0000  2 Pm 2.37
Pm: 0.5000 0.5000 0.5000  6 Re 2.37

Calculated values
Formation energy (eV/atom): 3.631

13.
Here is a relaxed PmRe3 crystal from Alexandria via LeMat-Bulk. Energies are from PBE.

a = 2.9565 Å, b = 4.2057 Å, c = 6.1865 Å
α = 90.00°, β = 90.00°, γ = 90.00°
Closest atoms and distances in Å follow each position.
Positions (direct):
Re: 0.0000 0.0000 0.9555  8 Re 2.71-2.96
Re: 0.5000 0.0000 0.5826  4 Re 2.55-2.74
Re: 0.5000 0.5000 0.8152  6 Re 2.55-2.71
Pm: 0.0000 0.5000 0.3133  2 Pm 2.96, 6 Re 3.05-3.06

Calculated values
Formation energy (eV/atom): 0.633
E above lowest polymorph (eV/atom): 0.573

14.
Here is a relaxed Pm2ReRu3 crystal from Alexandria via LeMat-Bulk. Energies are from PBE.

a = 5.6241 Å, b = 5.6241 Å, c = 8.2214 Å
α = 90.00°, β = 90.00°, γ = 120.00°
Closest atoms and distances in Å follow each position.
Positions (direct):
Pm: 0.6667 0.3333 0.4386  9 Ru 3.02-3.21, 1 Pm 3.10, 3 Re 3.29
Pm: 0.3333 0.6667 0.5614  9 Ru 3.02-3.21, 1 Pm 3.10, 3 Re 3.29
Pm: 0.3333 0.6667 0.9386  9 Ru 3.02-3.21, 1 Pm 3.10, 3 Re 3.29
Pm: 0.6667 0.3333 0.0614  9 Ru 3.02-3.21, 1 Pm 3.10, 3 Re 3.29
Re: 0.0000 0.0000 0.5000  6 Ru 2.63
Re: 0.0000 0.0000 0.0000  6 Ru 2.63
Ru: 0.1683 0.3365 0.2500  2 Re 2.63, 4 Ru 2.78-2.84
Ru: 0.3365 0.1683 0.7500  2 Re 2.63, 4 Ru 2.78-2.84
Ru: 0.8317 0.6635 0.7500  2 Re 2.63, 4 Ru 2.78-2.84
Ru: 0.1683 0.8317 0.2500  2 Re 2.63, 4 Ru 2.78-2.84
Ru: 0.8317 0.1683 0.7500  2 Re 2.63, 4 Ru 2.78-2.84
Ru: 0.6635 0.8317 0.2500  2 Re 2.63, 4 Ru 2.78-2.84

Calculated values
Formation energy (eV/atom): -0.176

15.
Here is a relaxed PmReS2 crystal from Alexandria via LeMat-Bulk. Energies are from PBE.

a = 3.2575 Å, b = 3.2575 Å, c = 9.0059 Å
α = 79.58°, β = 79.58°, γ = 60.00°
Closest atoms and distances in Å follow each position.
Positions (direct):
Re: 0.5000 0.5000 0.5000  6 S 2.44
S: 0.1076 0.1076 0.6772  3 Re 2.44
S: 0.8924 0.8924 0.3228  3 Re 2.44
Pm: 0.0000 0.0000 0.0000  2 S 2.84

Calculated values
Formation energy from raw total energies (eV per atom): -0.203

16.
Here is a relaxed Pm2ReS crystal from Alexandria via LeMat-Bulk. Energies are from PBE.

a = 3.4894 Å, b = 3.4894 Å, c = 9.4540 Å
α = 79.37°, β = 79.37°, γ = 60.00°
Closest atoms and distances in Å follow each position.
Positions (direct):
Re: 0.0000 0.0000 0.0000  2 Pm 2.72
S: 0.5000 0.5000 0.5000  6 Pm 2.77
Pm: 0.0980 0.0980 0.7060  1 Re 2.72, 3 S 2.77
Pm: 0.9020 0.9020 0.2940  1 Re 2.72, 3 S 2.77

Calculated values
Formation energy from raw total energies (eV per atom): 0.117

17.
Here is a relaxed PmReSb2 crystal from Alexandria via LeMat-Bulk. Energies are from PBE.

a = 3.6383 Å, b = 4.9712 Å, c = 4.9712 Å
α = 90.00°, β = 90.00°, γ = 90.00°
Closest atoms and distances in Å follow each position.
Positions (direct):
Re: 0.5000 0.5000 0.5000  8 Sb 3.08
Sb: 0.0000 0.0000 0.5000  4 Re 3.08, 4 Pm 3.08
Sb: 0.0000 0.5000 0.0000  4 Re 3.08, 4 Pm 3.08
Pm: 0.5000 0.0000 0.0000  8 Sb 3.08

Calculated values
Formation energy from raw total energies (eV per atom): 0.189
E above lowest polymorph (eV/atom): 0.000

18.
Here is a relaxed Pm3ReSb crystal from Alexandria via LeMat-Bulk. Energies are from PBE.

a = 5.4337 Å, b = 5.4337 Å, c = 5.4337 Å
α = 90.00°, β = 90.00°, γ = 90.00°
Closest atoms and distances in Å follow each position.
Positions (direct):
Re: 0.0000 0.0000 0.0000  6 Pm 2.72
Sb: 0.5000 0.5000 0.5000  12 Pm 3.84
Pm: 0.0000 0.5000 0.0000  2 Re 2.72
Pm: 0.0000 0.0000 0.5000  2 Re 2.72
Pm: 0.5000 0.0000 0.0000  2 Re 2.72

Calculated values
Formation energy from raw total energies (eV per atom): 0.044

19.
Here is a relaxed PmReSb2 crystal from Alexandria via LeMat-Bulk. Energies are from PBE.

a = 3.2132 Å, b = 3.2132 Å, c = 10.8863 Å
α = 81.51°, β = 81.51°, γ = 60.00°
Closest atoms and distances in Å follow each position.
Positions (direct):
Re: 0.0000 0.0000 0.0000  2 Sb 2.65
Sb: 0.0823 0.0823 0.7532  1 Re 2.65
Sb: 0.9177 0.9177 0.2468  1 Re 2.65
Pm: 0.5000 0.5000 0.5000  6 Pm 3.21, 6 Sb 3.29

Calculated values
Formation energy from raw total energies (eV per atom): 0.578
E above lowest polymorph (eV/atom): 0.389

20.
Here is a relaxed PmRe4Se7 crystal from Alexandria via LeMat-Bulk. Energies are from PBE.

a = 5.9987 Å, b = 7.2355 Å, c = 13.8934 Å
α = 90.00°, β = 90.00°, γ = 88.02°
Closest atoms and distances in Å follow each position.
Positions (direct):
Pm: 0.6882 0.5009 0.5000  3 Se 2.78-2.92
Pm: 0.0775 0.5145 0.0000  3 Se 2.95-3.02
Re: 0.5890 0.6070 0.8928  4 Se 2.46-2.49, 1 Re 2.64
Re: 0.9143 0.5944 0.2357  4 Se 2.43-2.65, 2 Re 2.54-2.64
Re: 0.5956 0.3798 0.2675  4 Se 2.39-2.64, 2 Re 2.54-2.64
Re: 0.2337 0.4304 0.6261  5 Se 2.55-2.67, 1 Re 2.64
Re: 0.2337 0.4304 0.3739  5 Se 2.55-2.67, 1 Re 2.64
Re: 0.5890 0.6070 0.1072  4 Se 2.46-2.49, 1 Re 2.64
Re: 0.9143 0.5944 0.7643  4 Se 2.43-2.65, 2 Re 2.54-2.64
Re: 0.5956 0.3798 0.7325  4 Se 2.39-2.64, 2 Re 2.54-2.64
Se: 0.8878 0.8371 0.1145  2 Re 2.43-2.49
Se: 0.5073 0.1543 0.3862  2 Re 2.39-2.55
Se: 0.4986 0.2778 0.8941  2 Re 2.44-2.46
Se: 0.9818 0.7402 0.6077  2 Re 2.46-2.67
Se: 0.9818 0.7402 0.3923  2 Re 2.46-2.67
Se: 0.4986 0.2778 0.1059  2 Re 2.44-2.46
Se: 0.3412 0.6731 0.7522  4 Re 2.49-2.65
Se: 0.0139 0.2651 0.7580  3 Re 2.44-2.64
Se: 0.0139 0.2651 0.2420  3 Re 2.44-2.64
Se: 0.3412 0.6731 0.2478  4 Re 2.49-2.65
Se: 0.3804 0.8279 0.0000  2 Re 2.49
Se: 0.0368 0.2382 0.5000  2 Re 2.55, 1 Pm 2.78
Se: 0.8878 0.8371 0.8855  2 Re 2.43-2.49
Se: 0.5073 0.1543 0.6138  2 Re 2.39-2.55

Calculated values
Formation energy from raw total energies (eV per atom): -0.213

Ordered total magnetization results: 0.000 0.664 0.030 0.000 0.000 0.000 0.000 0.000 0.000 0.000 0.000 1.750 0.000 0.000 0.001 0.799 0.001 0.001 0.000 0.000; unit Bohr magnetons per cell.